(1)
A relaxed structure of PrMg5Au2, computed with PBE.

Cell: 4.3272 8.2536 10.3284 Å, 90.00 90.00 90.00°
Last column: nearest neighbours and their distance in Å.
Space group Immm (No. 71)
Unique sites:
Pr 0.0000 0.0000 0.0000  4 Au 3.25
Mg 0.0000 0.1862 0.3437  3 Au 2.72-2.88
Mg 0.0000 0.5000 0.0000  2 Au 2.73
Au 0.0000 0.5000 0.2647  7 Mg 2.72-2.88

Values from the calculation:
DOS(E_F) = 5.54 states/eV/f.u.
calculated density = 5.91 g/cm3
energy relative to the elements = -43.0 kJ/mol of atoms

---

(2)
A relaxed structure of MnAlFeCu, computed with PBE.

Cell: 5.8288 5.8288 5.8288 Å, 90.00 90.00 90.00°
Last column: nearest neighbours and their distance in Å.
Space group F-43m (No. 216)
Unique sites:
Mn 0.0000 0.0000 0.0000  4 Fe 2.52, 4 Cu 2.52
Al 0.0000 0.0000 0.5000  4 Fe 2.52, 4 Cu 2.52
Fe 0.2500 0.2500 0.2500  4 Mn 2.52, 4 Al 2.52
Cu 0.2500 0.2500 0.7500  4 Mn 2.52, 4 Al 2.52

Values from the calculation:
DOS(E_F) = 1.99 states/eV/f.u.
calculated density = 6.75 g/cm3
energy relative to the elements = -7.4 kJ/mol of atoms

---

(3)
A relaxed structure of Na3Pr2ThS6, computed with PBE.

Cell: 13.6932 4.1194 11.6550 Å, 90.00 115.31 90.00°
Last column: nearest neighbours and their distance in Å.
Space group C2/m (No. 12)
Unique sites:
Na 0.0000 0.0000 0.0000  6 S 2.94-3.03
Na 0.1645 0.5000 0.3282  6 S 2.89-3.02
Pr 0.1694 0.5000 0.8378  6 S 2.85-2.94
Th 0.0000 0.0000 0.5000  6 S 2.80-2.83
S 0.0036 0.0000 0.7418  1 Th 2.80, 2 Pr 2.91, 3 Na 2.93-3.03
S 0.1572 0.5000 0.5796  2 Th 2.83, 1 Pr 2.94, 3 Na 2.97-3.02
S 0.1697 0.5000 0.0827  3 Pr 2.85-2.87, 3 Na 2.89-2.94

Values from the calculation:
formation energy (no corrections) = -20.8 eV/f.u.
DOS(E_F) = 4.38 states/eV/f.u.
calculated density = 4.33 g/cm3

---

(4)
A relaxed structure of BeAgAu2, computed with PBE.

Cell: 3.2259 3.7201 5.6092 Å, 90.00 106.70 90.00°
Last column: nearest neighbours and their distance in Å.
Space group Pm (No. 6)
Unique sites:
Be 0.0000 0.0000 0.0000  3 Au 2.34-2.41
Ag 0.5846 0.5000 0.1704  4 Be 2.63, 6 Au 2.84-2.88
Au 0.2228 0.0000 0.4485  1 Be 2.41
Au 0.8661 0.5000 0.7354  2 Be 2.34

Values from the calculation:
DOS(E_F) = 0.81 states/eV/f.u.
calculated density = 13.16 g/cm3
energy relative to the elements = 1.0 kJ/mol of atoms